(1)
The following is a DFT calculation (GGA-PBE) of a relaxed CsDyTeO crystal.

The space group is P2_1/c (No. 14) and the conventional cell measures 9.805, 7.460 and 6.748 Å, with angles of 90.00, 99.87 and 90.00 degrees. The distinct sites, in fractional coordinates, are Cs at (0.132, 0.081, 0.326), Dy at (0.494, 0.637, 0.793), Te at (0.267, 0.578, 0.372) and O at (0.434, 0.140, 0.383).

For the energy, the calculation gives -5.52 eV per atom. The energy relative to the lowest polymorph listed for this composition comes out at 0.000 eV/atom.

(2)
The following is a DFT calculation (GGA-PBE) of a relaxed CsDyTeO crystal.

The space group is P6_3mc (No. 186) and the conventional cell measures 3.9165, 3.9165 and 16.1344 Å, with angles of 90.00, 90.00 and 120.00 degrees. The distinct sites, in fractional coordinates, are Cs at (0.3333, 0.6667, 0.0000), Dy at (0.0000, 0.0000, 0.2046), Te at (0.3333, 0.6667, 0.3294) and O at (0.3333, 0.6667, 0.6494).

For the energy, the calculation gives -5.16 eV per atom. The energy relative to the lowest polymorph listed for this composition comes out at 0.363 eV/atom.

(3)
The following is a DFT calculation (GGA-PBE) of a relaxed CsDyZnO3 crystal.

The space group is Cmcm (No. 63) and the conventional cell measures 3.552, 13.223 and 9.099 Å, with angles of 90.00, 90.00 and 90.00 degrees. The distinct sites, in fractional coordinates, are Cs at (0.000, 0.225, 0.250), Dy at (0.000, 0.500, 0.000), Zn at (0.000, 0.054, 0.750), O at (0.000, 0.105, 0.552) and O at (0.000, 0.468, 0.750).

For the energy, the calculation gives -5.83 eV per atom.

(4)
The following is a DFT calculation (GGA-PBE) of a relaxed CsRbDy2P2 crystal.

The space group is P4mm (No. 99) and the conventional cell measures 4.995, 4.995 and 8.208 Å, with angles of 90.00, 90.00 and 90.00 degrees. The distinct sites, in fractional coordinates, are Cs at (0.000, 0.000, 0.000), Rb at (0.500, 0.500, 0.251), Dy at (0.000, 0.500, 0.620), P at (0.000, 0.000, 0.469) and P at (0.500, 0.500, 0.782).

For the energy, the calculation gives -4.33 eV per atom.

(5)
The following is a DFT calculation (GGA-PBE) of a relaxed CsDyPa crystal.

The space group is F-43m (No. 216) and the conventional cell measures 7.557, 7.557 and 7.557 Å, with angles of 90.00, 90.00 and 90.00 degrees. The distinct sites, in fractional coordinates, are Cs at (0.000, 0.000, 0.000), Dy at (0.250, 0.250, 0.250) and Pa at (0.250, 0.250, 0.750).

For the energy, the calculation gives -3.11 eV per atom.

(6)
The following is a DFT calculation (GGA-PBE) of a relaxed CsDyTe3Pd crystal.

The space group is P2_1/m (No. 11) and the conventional cell measures 10.285, 4.381 and 10.951 Å, with angles of 90.00, 116.62 and 90.00 degrees. The distinct sites, in fractional coordinates, are Cs at (0.234, 0.250, 0.256), Dy at (0.315, 0.750, 0.860), Te at (0.108, 0.250, 0.865), Te at (0.186, 0.750, 0.533), Te at (0.485, 0.750, 0.169) and Pd at (0.104, 0.250, 0.618).

For the energy, the calculation gives -4.31 eV per atom. The energy relative to the lowest polymorph listed for this composition comes out at 0.023 eV/atom.

(7)
The following is a DFT calculation (GGA-PBE) of a relaxed CsDyTe3Pd crystal.

The space group is Cmcm (No. 63) and the conventional cell measures 4.456, 18.714 and 10.159 Å, with angles of 90.00, 90.00 and 90.00 degrees. The distinct sites, in fractional coordinates, are Cs at (0.000, 0.248, 0.250), Dy at (0.000, 0.000, 0.000), Te at (0.000, 0.091, 0.750), Te at (0.000, 0.394, 0.585) and Pd at (0.000, 0.496, 0.250).

For the energy, the calculation gives -4.33 eV per atom. The energy relative to the lowest polymorph listed for this composition comes out at 0.000 eV/atom.

(8)
The following is a DFT calculation (GGA-PBE) of a relaxed CsPmDy crystal.

The space group is F-43m (No. 216) and the conventional cell measures 8.533, 8.533 and 8.533 Å, with angles of 90.00, 90.00 and 90.00 degrees. The distinct sites, in fractional coordinates, are Cs at (0.000, 0.000, 0.000), Pm at (0.250, 0.250, 0.250) and Dy at (0.000, 0.000, 0.500).

For the energy, the calculation gives -2.15 eV per atom. The energy relative to the lowest polymorph listed for this composition comes out at 0.026 eV/atom.

(9)
The following is a DFT calculation (GGA-PBE) of a relaxed CsPmDy crystal.

The space group is F-43m (No. 216) and the conventional cell measures 7.872, 7.872 and 7.872 Å, with angles of 90.00, 90.00 and 90.00 degrees. The distinct sites, in fractional coordinates, are Cs at (0.000, 0.000, 0.000), Pm at (0.250, 0.250, 0.750) and Dy at (0.250, 0.250, 0.250).

For the energy, the calculation gives -2.18 eV per atom. The energy relative to the lowest polymorph listed for this composition comes out at 0.000 eV/atom.

(10)
The following is a DFT calculation (GGA-PBE) of a relaxed CsDyPt crystal.

The space group is F-43m (No. 216) and the conventional cell measures 7.023, 7.023 and 7.023 Å, with angles of 90.00, 90.00 and 90.00 degrees. The distinct sites, in fractional coordinates, are Cs at (0.000, 0.000, 0.000), Dy at (0.250, 0.250, 0.250) and Pt at (0.250, 0.250, 0.750).

For the energy, the calculation gives -2.99 eV per atom. The energy relative to the lowest polymorph listed for this composition comes out at 0.723 eV/atom.

(11)
The following is a DFT calculation (GGA-PBE) of a relaxed CsDyPt crystal.

The space group is F-43m (No. 216) and the conventional cell measures 7.315, 7.315 and 7.315 Å, with angles of 90.00, 90.00 and 90.00 degrees. The distinct sites, in fractional coordinates, are Cs at (0.000, 0.000, 0.000), Dy at (0.000, 0.000, 0.500) and Pt at (0.250, 0.250, 0.250).

For the energy, the calculation gives -3.72 eV per atom. The energy relative to the lowest polymorph listed for this composition comes out at 0.000 eV/atom.

(12)
The following is a DFT calculation (GGA-PBE) of a relaxed CsDyTe3Pt crystal.

The space group is Cmcm (No. 63) and the conventional cell measures 4.386, 18.901 and 10.291 Å, with angles of 90.00, 90.00 and 90.00 degrees. The distinct sites, in fractional coordinates, are Cs at (0.000, 0.247, 0.250), Dy at (0.000, 0.000, 0.000), Te at (0.000, 0.088, 0.750), Te at (0.000, 0.394, 0.585) and Pt at (0.000, 0.498, 0.250).

For the energy, the calculation gives -4.44 eV per atom.